*P*
Here is crystalline CsGeH2Rh at its relaxed geometry from the Alexandria database. Energies are from GGA-PBE.

## Properties
symmetry	Cm (8)
Fermi-level density of states	1.632	states/eV/f.u.

a b c (Å): 3.5915 3.5915 7.5681
angles (deg): 103.53 103.49 90.00
Atoms (fractional coordinates):
Cs 0.3207 0.6220 0.8173
H 0.8881 0.1896 0.9545
H 0.9479 0.2499 0.0775
Ge 0.5833 0.8864 0.3552
Rh 0.0742 0.3771 0.3368

***

*Q*
Here is crystalline CsGeH2Rh at its relaxed geometry from the Alexandria database. Energies are from GGA-PBE.

## Properties
symmetry	P1 (1)
Fermi-level density of states	2.045	states/eV/f.u.

a b c (Å): 4.2132 4.2108 6.3588
angles (deg): 89.70 89.86 60.31
Atoms (fractional coordinates):
Cs 0.8867 0.3959 0.8159
Ge 0.2209 0.7265 0.2733
H 0.5540 0.0597 0.0944
H 0.2206 0.7279 0.0149
Rh 0.5555 0.0598 0.3427

***

Most stable one: *Q*, least stable one: *P*.

***

*P*
Here is crystalline Cs2HfGe at its relaxed geometry from the Alexandria database. Energies are from GGA-PBE.

## Properties
symmetry	Fm-3m (225)
Fermi-level density of states	2.336	states/eV/f.u.

a b c (Å): 5.9959 5.9959 5.9959
angles (deg): 60.00 60.00 60.00
Atoms (fractional coordinates):
Cs 0.2500 0.2500 0.2500
Cs 0.7500 0.7500 0.7500
Ge 0.0000 0.0000 0.0000
Hf 0.5000 0.5000 0.5000

***

*Q*
Here is crystalline Cs2HfGe at its relaxed geometry from the Alexandria database. Energies are from GGA-PBE.

## Properties
symmetry	I-42d (122)
Fermi-level density of states	2.699	states/eV/f.u.

a b c (Å): 10.5217 10.5217 10.5217
angles (deg): 93.49 93.49 151.42
Last column: magnetic moment on the atom in μB.
Atoms (fractional coordinates):
Cs 0.6934 0.3750 0.8184  0.00
Cs 0.5566 0.8750 0.1816  0.00
Cs 0.1250 0.3066 0.6816  0.00
Cs 0.6250 0.4434 0.3184  0.00
Hf 0.0000 0.0000 0.0000  0.09
Hf 0.2500 0.7500 0.5000  0.09
Ge 0.5000 0.5000 0.0000  0.00
Ge 0.7500 0.2500 0.5000  0.00

***

Most stable one: *Q*, least stable one: *P*.

***

*P*
Here is crystalline CsSrHf2Ge at its relaxed geometry from the Alexandria database. Energies are from GGA-PBE.

## Properties
symmetry	P4/mmm (123)
Fermi-level density of states	6.907	states/eV/f.u.

a b c (Å): 5.2170 6.6385 5.2170
angles (deg): 90.00 90.00 90.00
Atoms (fractional coordinates):
Cs 0.0000 0.5000 0.0000
Sr 0.5000 0.5000 0.5000
Ge 0.0000 0.0000 0.0000
Hf 0.0000 0.0000 0.5000
Hf 0.5000 0.0000 0.0000

***

*Q*
Here is crystalline CsSrHf2Ge at its relaxed geometry from the Alexandria database. Energies are from GGA-PBE.

## Properties
symmetry	P4/mmm (123)
Fermi-level density of states	5.299	states/eV/f.u.

a b c (Å): 5.6249 5.8151 5.6249
angles (deg): 90.00 90.00 90.00
Atoms (fractional coordinates):
Cs 0.5000 0.5000 0.5000
Sr 0.0000 0.0000 0.0000
Ge 0.0000 0.5000 0.0000
Hf 0.0000 0.0000 0.5000
Hf 0.5000 0.0000 0.0000

***

Most stable one: *P*, least stable one: *Q*.

***

*P*
Here is crystalline CsHgGe at its relaxed geometry from the Alexandria database. Energies are from GGA-PBE.

## Properties
symmetry	P-6m2 (187)
Fermi-level density of states	2.045	states/eV/f.u.

a b c (Å): 6.0618 4.6690 4.6690
angles (deg): 120.00 90.00 90.00
Last column: magnetic moment on the atom in μB.
Atoms (fractional coordinates):
Cs 0.6668 0.6667 0.3333  0.01
Ge 0.1670 0.0000 0.0000  0.12
Hg 0.1662 0.3333 0.6667  0.01

***

*Q*
Here is crystalline CsHgGe at its relaxed geometry from the Alexandria database. Energies are from GGA-PBE.

## Properties
symmetry	P1 (1)
Fermi-level density of states	1.189	states/eV/f.u.

a b c (Å): 4.1066 8.5211 6.9162
angles (deg): 98.58 89.96 103.92
Atoms (fractional coordinates):
Cs 0.6893 0.2265 0.3042
Cs 0.4649 0.7719 0.6015
Hg 0.1596 0.1638 0.7746
Hg 0.9947 0.8349 0.1309
Ge 0.8032 0.4491 0.8555
Ge 0.3533 0.5500 0.0516

***

*R*
Here is crystalline CsHgGe at its relaxed geometry from the Alexandria database. Energies are from GGA-PBE.

## Properties
symmetry	P2_1/c (14)
Fermi-level density of states	1.968	states/eV/f.u.

a b c (Å): 4.2729 11.9970 11.0796
angles (deg): 126.12 90.00 90.00
Atoms (fractional coordinates):
Cs 0.2504 0.3780 0.2329
Cs 0.7504 0.1220 0.7671
Cs 0.7496 0.6220 0.7671
Cs 0.2496 0.8780 0.2329
Ge 0.2500 0.9729 0.9280
Ge 0.7500 0.5271 0.0720
Ge 0.7500 0.0271 0.0720
Ge 0.2500 0.4729 0.9280
Hg 0.2489 0.7810 0.6121
Hg 0.7489 0.7190 0.3879
Hg 0.7511 0.2190 0.3879
Hg 0.2511 0.2810 0.6121

***

Most stable one: *R*, least stable one: *P*.